Entry 1:
## CaAgTe2 (PBE)

Data for a relaxed CaAgTe2 crystal.

Computed properties:
**Calculated total energy**: -14.1 eV for the cell shown
**Symmetry**: No. 99
**D(E_F)**: 0.6800 states/eV per atom
**E_form (uncorrected)**: -0.729 eV per atom

abc: 4.360 4.360 6.154
angles: 90.00 90.00 90.00
Atoms (fractional coordinates):
Ca 0.500 0.500 0.874
Te 0.000 0.000 0.876
Te 0.500 0.500 0.374
Ag 0.000 0.000 0.376

=====

Entry 2:
## TlGeO2 (PBE)

Data for a relaxed TlGeO2 crystal.

Computed properties:
**Calculated total energy**: -18.9 eV for the cell shown
**Symmetry**: No. 166
**D(E_F)**: 0.1786 states/eV per atom
**E_form (uncorrected)**: -0.506 eV per atom

abc: 6.892 6.892 6.892
angles: 28.15 28.15 28.15
Atoms (fractional coordinates):
Tl 0.500 0.500 0.500
Ge 0.000 0.000 0.000
O 0.896 0.896 0.896
O 0.104 0.104 0.104

=====

Entry 3:
## Pr3InSe6 (PBE)

Data for a relaxed Pr3InSe6 crystal.

Computed properties:
**Calculated total energy**: -107.1 eV for the cell shown
**Symmetry**: No. 36
**D(E_F)**: 0.0000 states/eV per atom
**E_form (uncorrected)**: -1.555 eV per atom

abc: 7.113 9.291 9.291
angles: 102.52 90.00 90.00
Atoms (fractional coordinates):
Pr 0.484 0.913 0.717
Pr 0.984 0.717 0.913
Pr 0.388 0.403 0.597
Pr 0.888 0.597 0.403
Pr 0.984 0.087 0.283
Pr 0.484 0.283 0.087
In 0.014 0.201 0.799
In 0.514 0.799 0.201
Se 0.185 0.693 0.631
Se 0.685 0.631 0.693
Se 0.209 0.440 0.904
Se 0.709 0.904 0.440
Se 0.174 0.034 0.966
Se 0.651 0.221 0.779
Se 0.151 0.779 0.221
Se 0.674 0.966 0.034
Se 0.209 0.096 0.560
Se 0.709 0.560 0.096
Se 0.185 0.369 0.307
Se 0.685 0.307 0.369

=====

> Which value of calculated total energy does entry 1 give?

-14.1 eV for the cell shown

=====

> Number 2 is which compound?

TlGeO2

=====

> What is the calculated total energy in the second record?

-18.9 eV for the cell shown